! NaMoO4 | Alexandria via LeMat-Bulk | GGA+U | relaxed; values from VASP
&SYSTEM
  ibrav = 0, nat = 12, ntyp = 3
/
ATOMIC_SPECIES
Na 22.99 Na.upf
Mo 95.94 Mo.upf
O 16.00 O.upf
ATOMIC_POSITIONS angstrom
Na 1.2517 4.2962 2.8882
Na 2.9043 -4.2962 0.9627
Mo 2.9043 1.3168 0.9627
Mo 1.2517 -1.3168 2.8882
O 1.5362 2.3886 1.3238
O -0.7723 0.3568 3.2702
O 0.8803 -0.3568 1.3447
O 4.2724 2.3886 0.6017
O -0.1164 -2.3886 3.2493
O 3.2757 0.3568 2.5063
O 4.9283 -0.3568 0.5808
O 2.6198 -2.3886 2.5272
CELL_PARAMETERS angstrom
3.7306 -5.8137 0.0000
3.7306 5.8137 0.0000
-3.3052 0.0000 3.8510
! Density of states at the Fermi level ... 6.8 states/eV per cell
! Uncorrected energy ... -6.10 eV/atom
! Distance to the lowest polymorph of the same formula ... 0.000 eV/atom
! Symmetry ... No. 15
! M_tot ... 1.0 μB/f.u.